P) VASP calculation (GGA-PBE) on a relaxed structure of Nd4Hg2Ru.

Computed properties:
* D(E_F): 6.99 states/eV per cell
* SG: C2/m
* volume: 203.0 Å³ per cell
* total magnetic moment: 0.00 μB per formula unit

Cell lengths 6.144, 6.144, 8.837 Å; angles 117.87, 117.87, 44.86 degrees
Fractional positions:
1 Nd 0.070 0.070 0.348
2 Nd 0.330 0.330 0.939
3 Nd 0.670 0.670 0.061
4 Nd 0.930 0.930 0.652
5 Hg 0.353 0.353 0.331
6 Hg 0.647 0.647 0.669
7 Ru 0.000 0.000 0.000

***

Q) VASP calculation (GGA-PBE) on a relaxed structure of Nd4Hg2Ru.

Computed properties:
* D(E_F): 8.84 states/eV per cell
* SG: I4/mmm
* volume: 224.9 Å³ per cell
* total magnetic moment: 0.00 μB per formula unit

Cell lengths 8.660, 8.660, 8.660 Å; angles 143.84, 143.84, 52.07 degrees
Fractional positions:
1 Nd 0.000 0.500 0.500
2 Nd 0.182 0.182 0.000
3 Nd 0.500 0.000 0.500
4 Nd 0.818 0.818 0.000
5 Hg 0.379 0.379 0.000
6 Hg 0.621 0.621 0.000
7 Ru 0.000 0.000 0.000

***

P) is preferred energetically. Next in line: 15.8 kJ/mol of atoms higher.

***

P) VASP calculation (GGA-PBE) on a relaxed structure of Nd6HgRu2.

Computed properties:
* D(E_F): 16.31 states/eV per cell
* SG: Immm
* volume: 509.0 Å³ per cell
* total magnetic moment: 0.00 μB per formula unit

Cell lengths 8.728, 8.728, 8.728 Å; angles 112.88, 110.98, 104.66 degrees
Fractional positions:
1 Nd 0.036 0.237 0.799
2 Nd 0.182 0.284 0.467
3 Nd 0.182 0.716 0.898
4 Nd 0.328 0.015 0.687
5 Nd 0.328 0.640 0.313
6 Nd 0.438 0.237 0.201
7 Nd 0.562 0.763 0.799
8 Nd 0.672 0.360 0.687
9 Nd 0.672 0.985 0.313
10 Nd 0.818 0.284 0.102
11 Nd 0.818 0.716 0.533
12 Nd 0.964 0.763 0.201
13 Hg 0.000 0.000 0.000
14 Hg 0.500 0.500 0.000
15 Ru 0.124 0.624 0.500
16 Ru 0.328 0.000 0.328
17 Ru 0.672 0.000 0.672
18 Ru 0.876 0.376 0.500

***

Q) VASP calculation (GGA-PBE) on a relaxed structure of Nd6HgRu2.

Computed properties:
* D(E_F): 7.70 states/eV per cell
* SG: C2/m
* volume: 248.3 Å³ per cell
* total magnetic moment: 0.00 μB per formula unit

Cell lengths 5.773, 5.773, 9.283 Å; angles 99.49, 99.49, 54.78 degrees
Fractional positions:
1 Nd 0.040 0.040 0.344
2 Nd 0.291 0.291 0.662
3 Nd 0.341 0.341 0.114
4 Nd 0.659 0.659 0.886
5 Nd 0.709 0.709 0.338
6 Nd 0.960 0.960 0.656
7 Hg 0.000 0.000 0.000
8 Ru 0.387 0.387 0.401
9 Ru 0.613 0.613 0.599

***

P) is preferred energetically. Next in line: 5.1 kJ/mol of atoms higher.

***

P) VASP calculation (GGA-PBE) on a relaxed structure of Nd6Hg2Ru.

Computed properties:
* D(E_F): 10.36 states/eV per cell
* SG: Amm2
* volume: 263.6 Å³ per cell
* total magnetic moment: 0.00 μB per formula unit

Cell lengths 3.905, 8.927, 8.927 Å; angles 122.11, 90.00, 90.00 degrees
Fractional positions:
1 Nd 0.000 0.000 0.000
2 Nd 0.000 0.536 0.789
3 Nd 0.000 0.789 0.536
4 Nd 0.500 0.186 0.789
5 Nd 0.500 0.374 0.374
6 Nd 0.500 0.789 0.186
7 Hg 0.000 0.122 0.449
8 Hg 0.000 0.449 0.122
9 Ru 0.500 0.733 0.733

***

Q) VASP calculation (GGA-PBE) on a relaxed structure of Nd6Hg2Ru.

Computed properties:
* D(E_F): 17.76 states/eV per cell
* SG: P2_1/c
* volume: 573.4 Å³ per cell
* total magnetic moment: 0.00 μB per formula unit

Cell lengths 7.213, 7.528, 12.741 Å; angles 90.00, 124.03, 90.00 degrees
Fractional positions:
1 Nd 0.137 0.196 0.450
2 Nd 0.137 0.304 0.950
3 Nd 0.254 0.690 0.448
4 Nd 0.254 0.810 0.948
5 Nd 0.358 0.007 0.248
6 Nd 0.358 0.493 0.748
7 Nd 0.642 0.507 0.252
8 Nd 0.642 0.993 0.752
9 Nd 0.746 0.190 0.052
10 Nd 0.746 0.310 0.552
11 Nd 0.863 0.696 0.050
12 Nd 0.863 0.804 0.550
13 Hg 0.210 0.089 0.746
14 Hg 0.210 0.411 0.246
15 Hg 0.790 0.589 0.754
16 Hg 0.790 0.911 0.254
17 Ru 0.500 0.000 0.500
18 Ru 0.500 0.500 0.000

***

P) is preferred energetically. Next in line: 5.6 kJ/mol of atoms higher.

***

P) VASP calculation (GGA-PBE) on a relaxed structure of NdThHgRu.

Computed properties:
* D(E_F): 3.19 states/eV per cell
* SG: R3m
* volume: 113.7 Å³ per cell
* total magnetic moment: 0.00 μB per formula unit

Cell lengths 8.108, 8.108, 8.108 Å; angles 29.40, 29.40, 29.40 degrees
Fractional positions:
1 Nd 0.000 0.000 0.000
2 Th 0.201 0.201 0.201
3 Hg 0.766 0.766 0.766
4 Ru 0.594 0.594 0.594

***

Q) VASP calculation (GGA-PBE) on a relaxed structure of NdThHgRu.

Computed properties:
* D(E_F): 3.44 states/eV per cell
* SG: F-43m
* volume: 100.0 Å³ per cell
* total magnetic moment: 0.00 μB per formula unit

Cell lengths 5.210, 5.210, 5.210 Å; angles 60.00, 60.00, 60.00 degrees
Fractional positions:
1 Nd 0.000 0.000 0.000
2 Th 0.500 0.500 0.500
3 Hg 0.750 0.750 0.750
4 Ru 0.250 0.250 0.250

***

P) is preferred energetically. Next in line: 13.4 kJ/mol of atoms higher.